Mg2FeW | the Alexandria database | PBE-GGA | optimized geometry; formation enthalpy at 0 K = 94.4 kJ per mole of atoms; total magnetization = 0.00 μB/f.u.; offset from the most stable computed form = 0.7937 eV per atom; SG = Fm-3m
1.0
2.0972 -2.3687 3.1429
-1.2165 0.3938 4.2722
-2.1075 -3.3609 2.0371
W Mg Fe
1 2 1
direct
0.5000 0.5000 0.5000
0.2500 0.2500 0.2500
0.7500 0.7500 0.7500
0.0000 0.0000 0.0000